The following is a GGA-PBE calculation of a geometry-optimized ReBr structure, from the Alexandria database.

Cell and atoms, written as POSCAR:
```
ReBr
1.0
4.648 0.000 0.000
2.324 4.025 0.000
2.324 1.342 3.795
Re Br
2 2
direct
0.500 0.500 0.500
0.750 0.750 0.750
0.250 0.250 0.250
0.000 0.000 0.000
```

Summary:
* DOS at the Fermi energy: 1.379 states/eV per atom
* uncorrected formation energy: 37.69 kcal/mol of atoms